[1]
Here is a relaxed Ba2HoHfS6 crystal from Alexandria. Energies are from PBE.

a b c (Å): 7.254 7.252 10.255
angles (deg): 90.00 90.00 90.00
Fractional positions:
S  0.757  0.505  0.500
S  0.500  0.250  0.244
S  0.000  0.750  0.256
Hf  0.000  0.749  0.500
S  0.744  0.007  0.000
S  0.756  0.993  0.500
S  0.000  0.750  0.744
Ba  0.000  0.251  0.250
S  0.743  0.495  0.000
Ho  0.500  0.249  0.500
S  0.243  0.505  0.500
Ba  0.000  0.251  0.750
Ho  0.000  0.751  0.000
S  0.500  0.250  0.756
Ba  0.500  0.749  0.750
Ba  0.500  0.749  0.250
Hf  0.500  0.251  0.000
S  0.256  0.007  0.000
S  0.257  0.495  0.000
S  0.244  0.993  0.500

Output
M_tot = 0.000 μB per atom
E_form (uncorrected) = -1.77 eV/atom
Final energy = -6.084 eV/atom



[2]
Here is a relaxed BaHf3I crystal from Alexandria. Energies are from PBE.

a b c (Å): 5.426 5.426 5.426
angles (deg): 90.00 90.00 90.00
Fractional positions:
Hf  0.000  0.000  0.500
Hf  0.000  0.500  0.000
Hf  0.500  0.000  0.000
I  0.500  0.500  0.500
Ba  0.000  0.000  0.000

Output
M_tot = 0.000 μB per atom
E_form (uncorrected) = 2.06 eV/atom
Final energy = -4.609 eV/atom
Energy above the most stable polymorph in this dataset = 1.0772 eV per atom



[3]
Here is a relaxed Ba3HfI crystal from Alexandria. Energies are from PBE.

a b c (Å): 6.364 6.364 6.364
angles (deg): 90.00 90.00 90.00
Site moments in Bohr magnetons follow the coordinates.
Fractional positions:
Ba  0.000  0.000  0.500  0.09
Ba  0.000  0.500  0.000  0.12
Hf  0.000  0.000  0.000  0.56
Ba  0.500  0.000  0.000  0.07
I  0.500  0.500  0.500  0.01

Output
M_tot = 0.315 μB per atom
E_form (uncorrected) = 0.33 eV/atom
Final energy = -3.122 eV/atom
Energy above the most stable polymorph in this dataset = 0.0000 eV per atom



[4]
Here is a relaxed BaHfI6 crystal from Alexandria. Energies are from PBE.

a b c (Å): 9.502 7.802 7.911
angles (deg): 98.06 108.11 125.99
Fractional positions:
I  0.262  0.551  0.000
Ba  0.000  0.000  0.000
I  0.454  0.173  0.304
Hf  0.500  0.000  0.000
I  0.546  0.827  0.696
I  0.150  0.870  0.696
I  0.850  0.130  0.304
I  0.738  0.449  0.000

Output
M_tot = 0.000 μB per atom
E_form (uncorrected) = -1.18 eV/atom
Final energy = -3.828 eV/atom



[5]
Here is a relaxed BaHfI3 crystal from Alexandria. Energies are from PBE.

a b c (Å): 5.705 5.705 5.705
angles (deg): 90.00 90.00 90.00
Fractional positions:
Ba  0.500  0.500  0.500
I  0.000  0.500  0.000
I  0.000  0.000  0.500
Hf  0.000  0.000  0.000
I  0.500  0.000  0.000

Output
M_tot = 0.000 μB per atom
E_form (uncorrected) = -0.52 eV/atom
Final energy = -3.829 eV/atom



[6]
Here is a relaxed Ba2HfI crystal from Alexandria. Energies are from PBE.

a b c (Å): 6.152 6.152 6.152
angles (deg): 60.00 60.00 60.00
Site moments in Bohr magnetons follow the coordinates.
Fractional positions:
Ba  0.750  0.750  0.750  0.28
I  0.000  0.000  0.000  0.03
Hf  0.500  0.500  0.500  1.56
Ba  0.250  0.250  0.250  0.28

Output
M_tot = 1.129 μB per atom
E_form (uncorrected) = 0.31 eV/atom
Final energy = -3.531 eV/atom
Energy above the most stable polymorph in this dataset = 0.0000 eV per atom



[7]
Here is a relaxed BaHf3I crystal from Alexandria. Energies are from PBE.

a b c (Å): 5.410 5.410 5.410
angles (deg): 90.00 90.00 90.00
Fractional positions:
Hf  0.500  0.000  0.000
Ba  0.500  0.500  0.500
Hf  0.000  0.500  0.000
I  0.000  0.000  0.000
Hf  0.000  0.000  0.500

Output
M_tot = 0.000 μB per atom
E_form (uncorrected) = 0.98 eV/atom
Final energy = -5.686 eV/atom
Energy above the most stable polymorph in this dataset = 0.0000 eV per atom



[8]
Here is a relaxed Ba2HfI crystal from Alexandria. Energies are from PBE.

a b c (Å): 9.351 9.351 7.701
angles (deg): 52.62 52.62 90.00
Site moments in Bohr magnetons follow the coordinates.
Fractional positions:
Ba  0.875  0.870  0.750  0.09
Ba  0.375  0.380  0.750  0.08
Ba  0.130  0.625  0.250  0.09
Hf  0.750  0.250  0.500  0.89
I  0.250  0.750  0.500  0.02
Hf  0.000  0.000  0.000  0.88
I  0.500  0.500  0.000  0.02
Ba  0.620  0.125  0.250  0.09

Output
M_tot = 0.517 μB per atom
E_form (uncorrected) = 0.37 eV/atom
Final energy = -3.462 eV/atom
Energy above the most stable polymorph in this dataset = 0.0689 eV per atom



[9]
Here is a relaxed BaHf2I crystal from Alexandria. Energies are from PBE.

a b c (Å): 5.370 5.370 5.370
angles (deg): 60.00 60.00 60.00
Site moments in Bohr magnetons follow the coordinates.
Fractional positions:
Hf  0.250  0.250  0.250  0.28
Hf  0.750  0.750  0.750  0.28
I  0.000  0.000  0.000  0.01
Ba  0.500  0.500  0.500  0.17

Output
M_tot = 0.300 μB per atom
E_form (uncorrected) = 0.95 eV/atom
Final energy = -4.899 eV/atom
Energy above the most stable polymorph in this dataset = 0.4033 eV per atom



[10]
Here is a relaxed BaHf2I crystal from Alexandria. Energies are from PBE.

a b c (Å): 4.564 4.564 12.024
angles (deg): 79.06 79.06 90.00
Fractional positions:
Ba  0.000  0.000  0.000
Hf  0.609  0.125  0.250
Hf  0.375  0.391  0.750
I  0.500  0.500  0.000
Hf  0.875  0.859  0.750
I  0.250  0.750  0.500
Hf  0.141  0.625  0.250
Ba  0.750  0.250  0.500

Output
M_tot = 0.000 μB per atom
E_form (uncorrected) = 0.54 eV/atom
Final energy = -5.302 eV/atom
Energy above the most stable polymorph in this dataset = 0.0000 eV per atom



[11]
Here is a relaxed BaHfMn2I crystal from Alexandria. Energies are from PBE.

a b c (Å): 5.007 7.051 5.007
angles (deg): 90.00 90.00 90.00
Site moments in Bohr magnetons follow the coordinates.
Fractional positions:
Mn  0.000  0.000  0.500  3.24
Mn  0.500  0.000  0.000  3.68
Hf  0.000  0.000  0.000  -1.05
Ba  0.000  0.500  0.000  -0.13
I  0.500  0.500  0.500  0.00

Output
M_tot = 1.081 μB per atom
E_form (uncorrected) = 0.75 eV/atom
Final energy = -5.608 eV/atom



[12]
Here is a relaxed BaHfI2N crystal from Alexandria. Energies are from PBE.

a b c (Å): 6.605 6.605 4.356
angles (deg): 90.00 90.00 90.00
Site moments in Bohr magnetons follow the coordinates.
Fractional positions:
Ba  0.000  0.000  0.000  0.01
I  0.000  0.500  0.000  0.00
Hf  0.500  0.500  0.500  1.05
I  0.500  0.000  0.000  0.00
N  0.000  0.000  0.500  -0.25

Output
M_tot = 0.268 μB per atom
E_form (uncorrected) = 0.90 eV/atom
Final energy = -3.756 eV/atom
Energy above the most stable polymorph in this dataset = 1.6751 eV per atom



[13]
Here is a relaxed BaHfIN2 crystal from Alexandria. Energies are from PBE.

a b c (Å): 4.609 4.609 6.293
angles (deg): 90.00 90.00 90.00
Fractional positions:
Hf  0.500  0.500  0.500
N  0.500  0.000  0.000
N  0.000  0.500  0.000
I  0.000  0.000  0.500
Ba  0.000  0.000  0.000

Output
M_tot = 0.000 μB per atom
E_form (uncorrected) = 1.76 eV/atom
Final energy = -4.255 eV/atom
Energy above the most stable polymorph in this dataset = 2.1282 eV per atom



[14]
Here is a relaxed BaHfI2N crystal from Alexandria. Energies are from PBE.

a b c (Å): 5.964 5.964 4.129
angles (deg): 90.00 90.00 90.00
Fractional positions:
I  0.500  0.000  0.000
N  0.000  0.000  0.500
Hf  0.000  0.000  0.000
I  0.000  0.500  0.000
Ba  0.500  0.500  0.500

Output
M_tot = 0.000 μB per atom
E_form (uncorrected) = -0.77 eV/atom
Final energy = -5.431 eV/atom
Energy above the most stable polymorph in this dataset = 0.0000 eV per atom



[15]
Here is a relaxed BaHfIN2 crystal from Alexandria. Energies are from PBE.

a b c (Å): 4.464 4.464 5.670
angles (deg): 90.00 90.00 90.00
Site moments in Bohr magnetons follow the coordinates.
Fractional positions:
Hf  0.000  0.000  0.000  -0.07
Ba  0.500  0.500  0.500  -0.01
N  0.500  0.000  0.000  0.36
N  0.000  0.500  0.000  0.36
I  0.000  0.000  0.500  0.00

Output
M_tot = 0.187 μB per atom
E_form (uncorrected) = -0.37 eV/atom
Final energy = -6.383 eV/atom
Energy above the most stable polymorph in this dataset = 0.0000 eV per atom



[16]
Here is a relaxed BaHf2IO8 crystal from Alexandria. Energies are from PBE.

a b c (Å): 5.233 5.233 7.344
angles (deg): 80.46 80.46 78.32
Fractional positions:
O  0.221  0.788  0.800
Ba  0.000  0.000  0.500
O  0.754  0.755  0.056
I  0.000  0.000  0.000
O  0.788  0.221  0.800
O  0.212  0.779  0.200
Hf  0.450  0.450  0.727
O  0.246  0.245  0.944
O  0.659  0.659  0.491
O  0.779  0.212  0.200
O  0.341  0.341  0.509
Hf  0.550  0.550  0.273

Output
M_tot = 0.000 μB per atom
E_form (uncorrected) = -2.17 eV/atom
Final energy = -7.422 eV/atom



[17]
Here is a relaxed BaHfIO6 crystal from Alexandria. Energies are from PBE.

a b c (Å): 5.537 5.537 5.762
angles (deg): 90.00 90.00 60.00
Fractional positions:
O  0.386  0.011  0.699
O  0.011  0.603  0.699
O  0.603  0.011  0.301
Hf  0.667  0.667  0.500
Ba  0.000  0.000  0.000
O  0.386  0.603  0.301
O  0.603  0.386  0.699
I  0.333  0.333  0.500
O  0.011  0.386  0.301

Output
M_tot = 0.000 μB per atom
E_form (uncorrected) = -1.98 eV/atom
Final energy = -6.775 eV/atom



[18]
Here is a relaxed BaHfSbI2 crystal from Alexandria. Energies are from PBE.

a b c (Å): 5.709 5.709 5.682
angles (deg): 90.00 90.00 90.00
Fractional positions:
Sb  0.000  0.000  0.500
I  0.000  0.500  0.000
I  0.500  0.000  0.000
Ba  0.500  0.500  0.500
Hf  0.000  0.000  0.000

Output
M_tot = 0.000 μB per atom
E_form (uncorrected) = -0.64 eV/atom
Final energy = -4.464 eV/atom
Energy above the most stable polymorph in this dataset = 0.0000 eV per atom



[19]
Here is a relaxed BaHfSb2I crystal from Alexandria. Energies are from PBE.

a b c (Å): 6.210 6.210 6.209
angles (deg): 90.00 90.00 90.00
Site moments in Bohr magnetons follow the coordinates.
Fractional positions:
Sb  0.000  0.500  0.000  -0.11
Ba  0.000  0.000  0.000  -0.03
Sb  0.500  0.000  0.000  -0.11
I  0.000  0.000  0.500  -0.02
Hf  0.500  0.500  0.500  0.83

Output
M_tot = 0.132 μB per atom
E_form (uncorrected) = 1.11 eV/atom
Final energy = -3.226 eV/atom
Energy above the most stable polymorph in this dataset = 1.7118 eV per atom



[20]
Here is a relaxed BaHfSbI2 crystal from Alexandria. Energies are from PBE.

a b c (Å): 6.395 6.395 6.840
angles (deg): 90.00 90.00 90.00
Site moments in Bohr magnetons follow the coordinates.
Fractional positions:
Ba  0.000  0.000  0.000  -0.03
Hf  0.500  0.500  0.500  1.08
Sb  0.000  0.000  0.500  -0.41
I  0.000  0.500  0.000  -0.02
I  0.500  0.000  0.000  -0.02

Output
M_tot = 0.081 μB per atom
E_form (uncorrected) = 0.60 eV/atom
Final energy = -3.216 eV/atom
Energy above the most stable polymorph in this dataset = 1.2474 eV per atom



[21]
Here is a relaxed BaHf2SbI crystal from Alexandria. Energies are from PBE.

a b c (Å): 5.685 5.956 5.685
angles (deg): 90.00 90.00 90.00
Fractional positions:
Sb  0.000  0.500  0.000
I  0.500  0.500  0.500
Ba  0.000  0.000  0.000
Hf  0.000  0.000  0.500
Hf  0.500  0.000  0.000

Output
M_tot = 0.000 μB per atom
E_form (uncorrected) = 1.80 eV/atom
Final energy = -3.703 eV/atom



[22]
Here is a relaxed BaHfSb2I crystal from Alexandria. Energies are from PBE.

a b c (Å): 5.556 5.556 5.897
angles (deg): 90.00 90.00 90.00
Fractional positions:
Ba  0.500  0.500  0.500
Sb  0.500  0.000  0.000
Sb  0.000  0.500  0.000
I  0.000  0.000  0.500
Hf  0.000  0.000  0.000

Output
M_tot = 0.000 μB per atom
E_form (uncorrected) = -0.60 eV/atom
Final energy = -4.938 eV/atom
Energy above the most stable polymorph in this dataset = 0.0000 eV per atom



[23]
Here is a relaxed BaHf2SeI crystal from Alexandria. Energies are from PBE.

a b c (Å): 5.749 5.713 5.749
angles (deg): 90.00 90.00 90.00
Fractional positions:
Hf  0.500  0.000  0.000
Hf  0.000  0.000  0.500
I  0.500  0.500  0.500
Ba  0.000  0.000  0.000
Se  0.000  0.500  0.000

Output
M_tot = 0.000 μB per atom
E_form (uncorrected) = 1.56 eV/atom
Final energy = -3.811 eV/atom



[24]
Here is a relaxed BaHfVI2 crystal from Alexandria. Energies are from PBE.

a b c (Å): 5.698 5.323 5.698
angles (deg): 90.00 90.00 90.00
Site moments in Bohr magnetons follow the coordinates.
Fractional positions:
Hf  0.000  0.000  0.000  -0.12
V  0.000  0.500  0.000  2.73
I  0.500  0.000  0.000  0.04
Ba  0.500  0.500  0.500  0.09
I  0.000  0.000  0.500  0.02

Output
M_tot = 0.746 μB per atom
E_form (uncorrected) = 0.21 eV/atom
Final energy = -4.610 eV/atom



[25]
Here is a relaxed BaHfIn2 crystal from Alexandria. Energies are from PBE.

a b c (Å): 5.466 5.466 5.466
angles (deg): 60.00 60.00 60.00
Fractional positions:
Hf  0.500  0.500  0.500
Ba  0.000  0.000  0.000
In  0.250  0.250  0.250
In  0.750  0.750  0.750

Output
M_tot = 0.000 μB per atom
Energy of formation from the pure elements = 0.112 eV per atom
Final energy = -4.226 eV/atom
Energy above the most stable polymorph in this dataset = 0.0000 eV per atom



[26]
Here is a relaxed BaHf3In crystal from Alexandria. Energies are from PBE.

a b c (Å): 5.449 5.449 5.449
angles (deg): 90.00 90.00 90.00
Site moments in Bohr magnetons follow the coordinates.
Fractional positions:
Ba  0.500  0.500  0.500  0.06
Hf  0.500  0.000  0.000  0.22
Hf  0.000  0.500  0.000  0.22
Hf  0.000  0.000  0.500  0.33
In  0.000  0.000  0.000  0.05

Output
M_tot = 0.321 μB per atom
Energy of formation from the pure elements = 1.107 eV per atom
Final energy = -5.797 eV/atom
Energy above the most stable polymorph in this dataset = 0.0000 eV per atom



[27]
Here is a relaxed BaHf3In crystal from Alexandria. Energies are from PBE.

a b c (Å): 5.299 5.299 5.299
angles (deg): 90.00 90.00 90.00
Site moments in Bohr magnetons follow the coordinates.
Fractional positions:
Hf  0.500  0.000  0.000  0.21
Hf  0.000  0.500  0.000  0.20
Ba  0.000  0.000  0.000  0.03
In  0.500  0.500  0.500  -0.01
Hf  0.000  0.000  0.500  0.11

Output
M_tot = 0.170 μB per atom
Energy of formation from the pure elements = 1.936 eV per atom
Final energy = -4.969 eV/atom
Energy above the most stable polymorph in this dataset = 0.8287 eV per atom